# Cs2ScWO6

A relaxed Cs2ScWO6 crystal (PBE+U, Alexandria via LeMat-Bulk).

```
10
Lattice="6.712 0.000 0.000 -3.356 5.813 0.000 0.000 0.000 5.548" Properties=species:S:1:pos:R:3 pbc="T T T"
Cs 0.000 3.875 1.093
Cs 3.356 1.938 4.455
Sc 0.000 0.000 2.774
W 0.000 0.000 0.000
O 0.000 1.511 4.304
O -2.048 5.058 4.304
O 1.308 0.755 1.244
O 2.048 5.058 4.304
O 5.404 0.755 1.244
O 3.356 4.303 1.244
```

M_tot (μB per atom): 0.11
E_tot (eV per atom): -6.5840
SG: P-3m1